[1]
## CsZn3Mo (GGA-PBEsol)

Data for an optimized crystal structure of CsZn3Mo.

Cell lengths 5.1141, 5.1141, 5.1141 Å; angles 90.00, 90.00, 90.00 degrees
Last column: nearest neighbours and their distance in Å.
Fractional coordinates of all 5 atoms:
Cs  0.0000  0.0000  0.0000  12 Zn 3.62
Zn  0.0000  0.5000  0.5000  2 Mo 2.56
Zn  0.5000  0.0000  0.5000  2 Mo 2.56
Zn  0.5000  0.5000  0.0000  2 Mo 2.56
Mo  0.5000  0.5000  0.5000  6 Zn 2.56

Values from the calculation:
Space group: Pm-3m (221)

***

[2]
## MgZn2AuC (GGA-PBEsol)

Data for an optimized crystal structure of MgZn2AuC.

Cell lengths 4.7534, 4.7534, 5.0751 Å; angles 90.00, 90.00, 90.00 degrees
Last column: nearest neighbours and their distance in Å.
Fractional coordinates of all 5 atoms:
Mg  0.0000  0.0000  0.0000  2 Au 2.54
Zn  0.0000  0.5000  0.5000  2 Au 2.38
Zn  0.5000  0.0000  0.5000  2 Au 2.38
Au  0.0000  0.0000  0.5000  4 Zn 2.38, 2 Mg 2.54
C  0.5000  0.5000  0.0000  4 Mg 3.36, 8 Zn 3.48

Values from the calculation:
Space group: P4/mmm (123)

***

[3]
## TaBeW3 (GGA-PBEsol)

Data for an optimized crystal structure of TaBeW3.

Cell lengths 4.2391, 4.2391, 4.2391 Å; angles 90.00, 90.00, 90.00 degrees
Last column: nearest neighbours and their distance in Å.
Fractional coordinates of all 5 atoms:
Ta  0.0000  0.0000  0.0000  12 W 3.00
Be  0.5000  0.5000  0.5000  6 W 2.12
W  0.0000  0.5000  0.5000  2 Be 2.12
W  0.5000  0.0000  0.5000  2 Be 2.12
W  0.5000  0.5000  0.0000  2 Be 2.12

Values from the calculation:
Space group: Pm-3m (221)

***

[4]
## CrCoIr2 (GGA-PBEsol)

Data for an optimized crystal structure of CrCoIr2.

Cell lengths 4.5424, 4.5424, 4.5424 Å; angles 132.67, 132.67, 69.18 degrees
Last column: nearest neighbours and their distance in Å.
Fractional coordinates of all 4 atoms:
Cr  0.0000  0.0000  0.0000  8 Ir 2.58-2.61, 4 Co 2.61
Co  0.2500  0.7500  0.5000  8 Ir 2.58-2.61, 4 Cr 2.61
Ir  0.5000  0.5000  0.0000  4 Cr 2.58, 4 Ir 2.61, 4 Co 2.61
Ir  0.7500  0.2500  0.5000  4 Co 2.58, 4 Cr 2.61, 4 Ir 2.61

Values from the calculation:
Space group: I-4m2 (119)

***

[5]
## ZnCr5 (GGA-PBEsol)

Data for an optimized crystal structure of ZnCr5.

Cell lengths 4.1968, 7.2159, 7.2159 Å; angles 18.53, 90.00, 90.00 degrees
Last column: nearest neighbours and their distance in Å.
Fractional coordinates of all 6 atoms:
Zn  0.0000  0.0000  0.0000  2 Zn 2.32, 2 Cr 2.52
Cr  0.0000  0.3358  0.3358  4 Cr 2.32-2.47
Cr  0.0000  0.6683  0.6683  8 Cr 2.32-2.60
Cr  0.5000  0.0985  0.0985  8 Cr 2.32-2.60, 2 Zn 2.52
Cr  0.5000  0.4269  0.4269  4 Cr 2.32-2.47
Cr  0.5000  0.7611  0.7611  6 Cr 2.32-2.59

Values from the calculation:
Space group: Amm2 (38)
Relative energy among the computed polymorphs in eV per atom: 0.000

***

[6]
## ZrSn2 (GGA-PBEsol)

Data for an optimized crystal structure of ZrSn2.

Cell lengths 6.8590, 5.6879, 5.5243 Å; angles 75.42, 53.37, 51.21 degrees
Last column: nearest neighbours and their distance in Å.
Fractional coordinates of all 6 atoms:
Zr  0.1250  0.1250  0.1250  10 Sn 2.95-3.24
Zr  0.8750  0.8750  0.8750  10 Sn 2.95-3.24
Sn  0.2059  0.5441  0.2059  5 Zr 2.95-3.24, 5 Sn 2.96-3.22
Sn  0.4559  0.7941  0.4559  5 Zr 2.95-3.24, 5 Sn 2.96-3.22
Sn  0.5441  0.2059  0.5441  5 Zr 2.95-3.24, 5 Sn 2.96-3.22
Sn  0.7941  0.4559  0.7941  5 Zr 2.95-3.24, 5 Sn 2.96-3.22

Values from the calculation:
Space group: Fddd (70)

***

[7]
## CaCdCu (GGA-PBEsol)

Data for an optimized crystal structure of CaCdCu.

Cell lengths 4.5453, 4.5453, 3.7014 Å; angles 90.00, 90.00, 120.00 degrees
Last column: nearest neighbours and their distance in Å.
Fractional coordinates of all 3 atoms:
Ca  0.0000  0.0000  0.0000  6 Cu 3.21, 6 Cd 3.21
Cd  0.6667  0.3333  0.5000  3 Cu 2.62
Cu  0.3333  0.6667  0.5000  3 Cd 2.62

Values from the calculation:
Space group: P-6m2 (187)

***

[8]
## KBe2Ru (GGA-PBEsol)

Data for an optimized crystal structure of KBe2Ru.

Cell lengths 4.7485, 4.7485, 4.7485 Å; angles 132.01, 110.95, 88.47 degrees
Last column: nearest neighbours and their distance in Å.
Fractional coordinates of all 4 atoms:
K  0.0000  0.0000  0.0000  8 Be 2.92-2.99
Be  0.3346  0.8346  0.5000  2 Ru 2.23, 1 Be 2.25
Be  0.6654  0.1654  0.5000  2 Ru 2.23, 1 Be 2.25
Ru  0.5000  0.5000  0.0000  4 Be 2.23

Values from the calculation:
Space group: Immm (71)
Relative energy among the computed polymorphs in eV per atom: 0.630

***

Energy of formation from the pure elements (kJ per mole of atoms)
73.4; 134.0; 74.1; -9.9; 30.2; -49.6; -13.7; 107.6